*w*
Here is an optimized crystal structure of P2WCO from the Alexandria database. Energies are from GGA+U.

Computed properties:
Density of states at the Fermi level (states/eV per cell): 1.23
Calculated density (g cm⁻³): 7.9

a = 3.895 Å, b = 3.895 Å, c = 3.808 Å
α = 90.00°, β = 90.00°, γ = 90.00°
Positions (direct):
P: 0.000 0.500 0.000
P: 0.500 0.000 0.000
W: 0.500 0.500 0.500
C: 0.000 0.000 0.000
O: 0.000 0.000 0.500

---

*x*
Here is an optimized crystal structure of P2WCO from the Alexandria database. Energies are from GGA+U.

Computed properties:
Density of states at the Fermi level (states/eV per cell): 2.17
Calculated density (g cm⁻³): 5.1

a = 4.837 Å, b = 4.837 Å, c = 3.786 Å
α = 90.00°, β = 90.00°, γ = 90.00°
Each line ends with the local moment (μB).
Positions (direct):
P: 0.000 0.500 0.000  -0.27
P: 0.500 0.000 0.000  -0.27
O: 0.000 0.000 0.500  -0.12
W: 0.000 0.000 0.000  0.64
C: 0.500 0.500 0.500  0.57

---

The structure with the most favorable energy is *w*; the runner-up is 9.8 kJ/mol of atoms above it.